Here is a relaxed V2CrPb3O9 crystal from the Alexandria database. Energies are from GGA+U.

a = 5.579 Å, b = 5.579 Å, c = 6.793 Å
α = 90.00°, β = 90.00°, γ = 120.00°
Element x y z (fractional)
1 V 0.333 0.667 0.172
2 V 0.667 0.333 0.828
3 Cr 0.000 0.000 0.500
4 Pb 0.000 0.000 0.000
5 Pb 0.333 0.667 0.672
6 Pb 0.667 0.333 0.328
7 O 0.000 0.500 0.000
8 O 0.170 0.339 0.328
9 O 0.170 0.830 0.328
10 O 0.339 0.170 0.672
11 O 0.500 0.000 0.000
12 O 0.500 0.500 0.000
13 O 0.661 0.830 0.328
14 O 0.830 0.170 0.672
15 O 0.830 0.661 0.672

Output
The raw total energy is -101.6 eV for the cell shown. As for the crystal system: trigonal. The value obtained for the volume is 12.21 Å³/atom. Its space group is P-3m1.